KHf2UO8 after structural relaxation, computed with PBE.

a b c (Å): 5.103 5.098 6.900
angles (deg): 90.00 90.00 87.76
Last column: magnetic moment on the atom in μB.
Fractional coordinates of all 12 atoms:
K 0.000 0.000 0.500  0.01
Hf 0.500 0.500 0.765  -0.02
Hf 0.500 0.500 0.235  -0.02
U 0.000 0.000 0.000  0.00
O 0.206 0.793 0.202  0.00
O 0.687 0.688 0.000  0.01
O 0.794 0.207 0.202  0.00
O 0.794 0.207 0.798  0.00
O 0.313 0.312 0.000  0.01
O 0.206 0.793 0.798  0.00
O 0.646 0.647 0.500  0.42
O 0.354 0.353 0.500  0.42

Properties
Energy relative to the elements, uncorrected: -2.8667 eV/atom
DFT total energy: -8.863 eV per atom
Space-group type: No. 10